# 1
KRb2NaCl | PBE | relaxed

```
data_KRb2NaCl
_chemical_formula_sum 'K1 Rb2 Na1 Cl1'
_space_group_name_H-M_alt 'P 4/m m m'
_space_group_IT_number 123
_space_group_name_Hall '-P 4 2'
_cell_length_a 6.7952
_cell_length_b 6.7952
_cell_length_c 6.0310
_cell_angle_alpha 90.00
_cell_angle_beta 90.00
_cell_angle_gamma 90.00
loop_
_atom_site_label
_atom_site_type_symbol
_atom_site_fract_x
_atom_site_fract_y
_atom_site_fract_z
K1 K 0.0000 0.0000 0.0000
Rb1 Rb 0.0000 0.5000 0.5000
Na1 Na 0.5000 0.5000 0.0000
Cl1 Cl 0.5000 0.5000 0.5000
```

- Spin magnetization: 0.00 μB per atom
- Uncorrected formation energy: -14.661 kcal/mol of atoms
- Crystal system: tetragonal

---

# 2
AcCoSiIr6 | PBE | relaxed

```
data_AcCoSiIr6
_chemical_formula_sum 'Ac4 Co4 Si4 Ir24'
_space_group_name_H-M_alt 'I m m a'
_space_group_IT_number 74
_space_group_name_Hall '-I 2b 2'
_cell_length_a 6.0296
_cell_length_b 9.3492
_cell_length_c 11.7905
_cell_angle_alpha 90.00
_cell_angle_beta 90.00
_cell_angle_gamma 90.00
loop_
_atom_site_label
_atom_site_type_symbol
_atom_site_fract_x
_atom_site_fract_y
_atom_site_fract_z
Ac1 Ac 0.0000 0.2500 0.1688
Co1 Co 0.2500 0.2500 0.7500
Si1 Si 0.0000 0.0000 0.5000
Ir1 Ir 0.0000 0.2500 0.4216
Ir2 Ir 0.0000 0.2500 0.9094
Ir3 Ir 0.2326 0.0248 0.8631
```

- Spin magnetization: 0.27 μB per atom
- Uncorrected formation energy: 6.744 kcal/mol of atoms
- Crystal system: orthorhombic

---

# 3
Pu5Ga2Au5 | PBE | relaxed

```
data_Pu5Ga2Au5
_chemical_formula_sum 'Pu10 Ga4 Au10'
_space_group_name_H-M_alt 'C 1 2/m 1'
_space_group_IT_number 12
_cell_length_a 15.3141
_cell_length_b 4.5670
_cell_length_c 9.6672
_cell_angle_alpha 90.00
_cell_angle_beta 127.01
_cell_angle_gamma 90.00
loop_
_space_group_symop_operation_xyz
'x,y,z'
'-x,-y,-z'
'-x,y,-z'
'x,-y,z'
'x+1/2,y+1/2,z'
'-x+1/2,-y+1/2,-z'
'-x+1/2,y+1/2,-z'
'x+1/2,-y+1/2,z'
loop_
_atom_site_label
_atom_site_type_symbol
_atom_site_fract_x
_atom_site_fract_y
_atom_site_fract_z
Pu1 Pu 0.0000 0.0000 0.0000
Pu2 Pu 0.1006 0.0000 0.7915
Pu3 Pu 0.1815 0.0000 0.5251
Ga1 Ga 0.1537 0.5000 0.0675
Au1 Au 0.0000 0.5000 0.5000
Au2 Au 0.0588 0.5000 0.2529
Au3 Au 0.2380 0.5000 0.7903
```

- Final energy: -0.6016 Ry per atom
- Spin magnetization: 0.49 μB per atom
- Crystal system: monoclinic

---

# 4
Ti6AlGa3 | PBE | relaxed

```
data_Ti6AlGa3
_chemical_formula_sum 'Ti24 Al4 Ga12'
_space_group_name_H-M_alt 'C m c 21'
_space_group_IT_number 36
_cell_length_a 8.0177
_cell_length_b 15.6994
_cell_length_c 5.3495
_cell_angle_alpha 90.00
_cell_angle_beta 90.00
_cell_angle_gamma 90.00
loop_
_space_group_symop_operation_xyz
'x,y,z'
'-x,-y,z+1/2'
'-x,y,z'
'x,-y,z+1/2'
'x+1/2,y+1/2,z'
'-x+1/2,-y+1/2,z+1/2'
'-x+1/2,y+1/2,z'
'x+1/2,-y+1/2,z+1/2'
loop_
_atom_site_label
_atom_site_type_symbol
_atom_site_fract_x
_atom_site_fract_y
_atom_site_fract_z
Ti1 Ti 0.0000 0.0145 0.0000
Ti2 Ti 0.0000 0.3080 0.4812
Ti3 Ti 0.1770 0.2539 0.0100
Ti4 Ti 0.1949 0.4427 0.2899
Al1 Al 0.0000 0.1503 0.6849
Ga1 Ga 0.0000 0.4052 0.9048
Ga2 Ga 0.1963 0.1100 0.2763
```

- Final energy: -0.4572 Ry per atom
- Spin magnetization: 0.03 μB per atom
- Crystal system: orthorhombic

---

Which of these has the lowest spin magnetization?
KRb2NaCl

---

spin magnetization of number 1 (KRb2NaCl)?
0.00 μB per atom

---

Among the records above, which one has the highest spin magnetization?
Pu5Ga2Au5